This record from Alexandria via LeMat-Bulk describes a relaxed Rb7Fe2O8 crystal. The functional is GGA+U.

## Properties
Its calculated total energy is -4.6662 eV per atom. The calculation puts the volume at 1463 Å³ per cell.

Unit cell a=6.612 b=10.572 c=20.978 alpha=90.00 beta=93.54 gamma=90.00
Space group P2_1/c (No. 14)
Unique sites:
1 Rb 0.086 0.036 0.136 [4 per cell]
2 Rb 0.094 0.669 0.806 [4 per cell]
3 Rb 0.216 0.055 0.453 [4 per cell]
4 Rb 0.283 0.700 0.136 [4 per cell]
5 Rb 0.303 0.113 0.966 [4 per cell]
6 Rb 0.383 0.005 0.784 [4 per cell]
7 Rb 0.404 0.169 0.616 [4 per cell]
8 Fe 0.213 0.160 0.296 [4 per cell]
9 Fe 0.217 0.719 0.474 [4 per cell]
10 O 0.014 0.203 0.555 [4 per cell]
11 O 0.027 0.587 0.228 [4 per cell]
12 O 0.138 0.209 0.843 [4 per cell]
13 O 0.232 0.608 0.539 [4 per cell]
14 O 0.292 0.638 0.404 [4 per cell]
15 O 0.354 0.224 0.232 [4 per cell]
16 O 0.376 0.034 0.327 [4 per cell]
17 O 0.396 0.664 0.005 [4 per cell]